Tm3TlC | GGA-PBE | optimized geometry

Output
As for the total moment: 0.00 Bohr magnetons per cell. The calculation puts the total energy at -5.5069 eV/atom.

Lattice parameters (Å, degrees): 4.8355 4.8355 4.8355 90.00 90.00 90.00
With the nearest neighbours (Å) after each atom.
Space group Pm-3m (No. 221)
Unique sites:
Tm (0.0000, 0.0000, 0.5000) [3 per cell]  2 C 2.42
Tl (0.5000, 0.5000, 0.5000) [1 per cell]  12 Tm 3.42
C (0.0000, 0.0000, 0.0000) [1 per cell]  6 Tm 2.42